Na5B7C3 | Alexandria via LeMat-Bulk | GGA-PBE | optimized geometry; E = -157.63 eV/cell; ΔE_f = 0.15 eV per atom; SG = No. 1; energy above the most stable polymorph in this dataset = 0.50 eV/f.u.
1.0
6.2511 0.0232 -4.4824
4.2392 4.5921 -4.4842
0.6424 0.2794 10.3309
B C Na
14 6 10
Cartesian
6.1222 3.5982 -2.7961
6.0788 0.8519 -1.8957
8.5290 4.6722 0.5792
6.3987 1.0062 3.2571
7.1646 2.2675 2.3130
4.3112 2.8977 4.1638
2.8426 0.3675 6.0060
9.1445 3.0451 0.6536
1.8665 1.7128 0.8439
5.1789 4.0226 3.1830
8.1770 4.5992 -4.5916
4.0866 2.6895 -1.0551
5.0177 1.2943 4.1579
8.8850 2.9947 -4.5919
4.7774 3.8930 -1.9221
2.2351 1.8561 5.9677
6.7724 2.0438 -2.7643
6.4757 3.7204 2.3490
4.7052 1.1601 -1.0159
2.5750 0.2231 0.8002
2.4167 1.0681 3.3612
2.1273 0.9269 -1.7599
10.7892 4.7420 -3.8406
8.6881 3.8365 -2.0321
6.3071 2.7795 -5.3532
8.4180 3.7011 -7.1377
4.1982 1.8543 -3.5757
6.2551 0.0440 -4.4744
6.5969 2.8988 -0.2289
4.4968 1.9768 1.5551

BeInSb2 | Alexandria via LeMat-Bulk | GGA-PBE | optimized geometry; E = -13.52 eV/cell; formation energy (no corrections) = 0.30 eV per atom; SG = No. 6; energy above the most stable polymorph in this dataset = 0.81 eV/f.u.
1.0
3.9506 0.0000 0.0000
0.0000 3.8138 -0.0032
0.0000 1.8398 6.6396
Sb In Be
2 1 1
Cartesian
1.9753 2.1161 2.1559
0.0000 2.0922 6.1661
1.9753 4.0091 4.6188
0.0000 2.1026 3.6533

ErPuCuRu | Alexandria via LeMat-Bulk | GGA-PBE | optimized geometry; E = -32.90 eV/cell; ΔE_f = -0.16 eV per atom; SG = No. 216
1.0
-2.1086 2.2707 3.7033
-3.9111 -1.9090 2.0918
0.3012 -1.8462 4.4517
Ru Cu Pu Er
1 1 1 1
Cartesian
-1.4296 -0.3711 2.5617
-4.2888 -1.1134 7.6850
-2.8592 -0.7423 5.1234
0.0000 0.0000 0.0000

Pr8ZnSe4S3 | Alexandria via LeMat-Bulk | GGA-PBE | optimized geometry; E = -93.34 eV/cell; formation energy (no corrections) = -1.72 eV per atom; SG = No. 166
1.0
-3.3561 -1.7595 7.4714
-6.1909 -4.3653 -3.8089
8.0010 -1.9404 -1.5596
Pr S Zn Se
8 3 1 4
Cartesian
-2.4053 -1.6112 0.9220
-1.4306 -4.6299 -1.7330
-0.1153 -3.4352 3.8358
2.5135 -5.5868 -2.5014
-4.0594 -2.4784 4.6043
1.5762 -2.6218 0.0906
-3.1221 -5.4434 2.0123
0.8594 -6.4539 1.1809
-0.7730 -4.0326 1.0514
0.9051 -3.1528 -2.6842
-4.7735 -3.0624 1.8312
-3.0954 -2.1826 -1.9045
-1.6780 -0.8797 3.7357
2.3225 -1.8499 2.9559
4.0005 -0.9702 -0.7798
0.0000 0.0000 0.0000